Entry 1:
Here is a relaxed structure of Li2LaYTl2Ag2 from the Open Quantum Materials Database. Energies are from GGA-PBE.

extended XYZ file:
```
8
Lattice="-3.2835 3.7402 -0.4472 -3.1551 -2.4068 3.0368 2.9066 3.2177 5.5700" Properties=species:S:1:pos:R:3 pbc="T T T"
Li -0.9018 2.6892 1.1944
Li 0.5891 1.1951 5.6704
Ag 0.5068 4.2485 3.8937
Ag -0.8195 -0.3642 2.9712
Tl 1.4533 1.6088 2.7850
Tl -3.2193 0.6667 1.2948
La 0.0000 0.0000 0.0000
Y -1.7660 2.2755 4.0798
```

Summary:
Crystal system: tetragonal
Calculated total energy (eV/atom): -3.494

=====

Entry 2:
Here is a relaxed structure of LaLuAg2Pb2 from the Open Quantum Materials Database. Energies are from GGA-PBE.

extended XYZ file:
```
6
Lattice="4.8524 0.0000 0.0000 -2.4262 4.2023 0.0000 0.0000 0.0000 7.6089" Properties=species:S:1:pos:R:3 pbc="T T T"
Pb 0.0000 2.8015 2.0978
Pb 2.4262 1.4008 5.7951
Ag 0.0000 2.8015 5.0649
Ag 2.4262 1.4008 1.5585
La 0.0000 0.0000 7.5125
Lu 0.0000 0.0000 3.7350
```

Summary:
Crystal system: trigonal
Calculated total energy (eV/atom): -4.169

=====

Entry 3:
Here is a relaxed structure of La2MgAg2 from the Open Quantum Materials Database. Energies are from GGA-PBE.

extended XYZ file:
```
10
Lattice="8.1553 0.0000 0.0000 0.0000 8.1553 0.0000 0.0000 0.0000 4.1569" Properties=species:S:1:pos:R:3 pbc="T T T"
Mg 0.0000 0.0000 0.0000
Mg 4.0776 4.0776 0.0000
La 1.3997 5.4773 2.0785
La 6.7556 2.6779 2.0785
La 5.4773 6.7556 2.0785
La 2.6779 1.3997 2.0785
Ag 5.1177 1.0401 0.0000
Ag 1.0401 3.0376 0.0000
Ag 3.0376 7.1152 0.0000
Ag 7.1152 5.1177 0.0000
```

Summary:
Crystal system: tetragonal
Calculated total energy (eV/atom): -3.677

=====

Entry 4:
Here is a relaxed structure of LaMg2Ag2 from the Open Quantum Materials Database. Energies are from GGA-PBE.

extended XYZ file:
```
5
Lattice="-1.3530 -5.9545 3.7047 1.2498 -1.4671 6.8772 -2.6961 4.7889 -4.5616" Properties=species:S:1:pos:R:3 pbc="T T T"
La 0.0000 0.0000 0.0000
Ag -0.0628 -4.5153 6.4380
Ag -0.0404 -2.9063 4.1439
Mg -0.7489 -0.1945 3.8033
Mg -2.0503 -2.4382 2.2170
```

Summary:
Crystal system: tetragonal
Calculated total energy (eV/atom): -2.987

=====

Entry 5:
Here is a relaxed structure of LaNd2Mg3AgPd2 from the Open Quantum Materials Database. Energies are from GGA-PBE.

extended XYZ file:
```
9
Lattice="-2.4361 -3.3755 -0.1281 2.8624 -2.3223 6.7600 -6.2400 4.5086 -0.1361" Properties=species:S:1:pos:R:3 pbc="T T T"
Mg 0.1014 -2.8944 6.6417
Mg -6.7351 2.2361 1.4623
Mg -3.7757 -0.0322 4.9517
Pd -1.3915 -1.7315 4.3895
Pd -4.4174 0.5393 2.0970
Ag -3.3737 2.1839 6.6163
La -1.4247 0.9222 2.7941
Nd -0.7640 0.2980 6.6790
Nd -4.5751 3.1581 3.7916
```

Summary:
Crystal system: orthorhombic
Calculated total energy (eV/atom): -4.122

=====

Entry 6:
Here is a relaxed structure of La2NdMg3AgPd2 from the Open Quantum Materials Database. Energies are from GGA-PBE.

extended XYZ file:
```
9
Lattice="4.1932 0.0000 0.0000 0.0000 6.7347 3.8566 0.0000 -6.7347 3.8566" Properties=species:S:1:pos:R:3 pbc="T T T"
Pd 2.0966 -2.2482 3.8516
Pd 2.0966 2.2482 3.8516
Mg 2.0966 0.0000 1.9080
Mg 2.0966 1.6247 6.7590
Mg 2.0966 -1.6247 6.7590
La 0.0000 -3.8950 5.4812
La 0.0000 3.8950 5.4812
Ag 0.0000 0.0000 7.7043
Nd 0.0000 0.0000 4.4827
```

Summary:
Crystal system: orthorhombic
Calculated total energy (eV/atom): -4.146

=====

Question: The highest calculated total energy belongs to which entry?
Answer: LaMg2Ag2

=====

Repeat the fourth record exactly.
Here is a relaxed structure of LaMg2Ag2 from the Open Quantum Materials Database. Energies are from GGA-PBE.

extended XYZ file:
```
5
Lattice="-1.3530 -5.9545 3.7047 1.2498 -1.4671 6.8772 -2.6961 4.7889 -4.5616" Properties=species:S:1:pos:R:3 pbc="T T T"
La 0.0000 0.0000 0.0000
Ag -0.0628 -4.5153 6.4380
Ag -0.0404 -2.9063 4.1439
Mg -0.7489 -0.1945 3.8033
Mg -2.0503 -2.4382 2.2170
```

Summary:
Crystal system: tetragonal
Calculated total energy (eV/atom): -2.987

=====

Question: calculated total energy of number 5 (LaNd2Mg3AgPd2)?
Answer: -4.122 eV/atom

=====

Question: Among the records above, which one has the highest calculated total energy?
Answer: LaMg2Ag2